Record 1
First-principles (GGA-PBE) data for a relaxed structure of SnTeCI2, as listed in the Alexandria database.

Summary:
energy relative to the lowest polymorph listed for this composition = 633 meV per atom
E_form (uncorrected) = 7.734 eV/f.u.
DFT total energy = -2.35 eV per atom

Lattice parameters (Å, degrees): 5.9576 5.9576 5.9767 90.00 90.00 90.00
Last column: nearest neighbours and their distance in Å.
Space group P4/mmm (No. 123)
Symmetry-distinct sites (fractional):
Sn: 0.0000 0.0000 0.0000  4 I 2.98, 2 Te 2.99
Te: 0.0000 0.0000 0.5000  2 Sn 2.99
C: 0.5000 0.5000 0.5000  4 Te 4.21, 8 I 4.22
I: 0.0000 0.5000 0.0000  2 Sn 2.98

Record 2
First-principles (GGA-PBE) data for a relaxed structure of TbPa4Ge5, as listed in the Alexandria database.

Summary:
energy relative to the elements = -512.4 meV per atom
DFT total energy = -7.08 eV per atom

Lattice parameters (Å, degrees): 4.1498 5.8547 20.6860 90.00 90.00 90.00
Last column: nearest neighbours and their distance in Å.
Space group Immm (No. 71)
Symmetry-distinct sites (fractional):
Tb: 0.0000 0.0000 0.0000  6 Ge 2.93-2.96
Pa: 0.0000 0.0000 0.1998  6 Ge 2.89-2.94
Pa: 0.0000 0.0000 0.4006  6 Ge 2.92-2.93
Ge: 0.0000 0.5000 0.0000  4 Pa 2.92, 2 Tb 2.93
Ge: 0.0000 0.5000 0.1995  6 Pa 2.93-2.94
Ge: 0.0000 0.5000 0.3978  4 Pa 2.89-2.93, 2 Tb 2.96

Record 3
First-principles (GGA-PBE) data for a relaxed structure of Sr3AlN3, as listed in the Alexandria database.

Summary:
energy relative to the lowest polymorph listed for this composition = 43 meV per atom
E_form (uncorrected) = -5.333 eV/f.u.
DFT total energy = -5.59 eV per atom

Lattice parameters (Å, degrees): 15.8415 5.8108 10.3974 90.00 90.00 90.00
Last column: nearest neighbours and their distance in Å.
Space group Cmce (No. 64)
Symmetry-distinct sites (fractional):
Sr: 0.0000 0.1294 0.1625  5 N 2.63-2.79
Sr: 0.1803 0.1530 0.8659  4 N 2.66-2.77, 1 Al 2.89
Al: 0.0832 0.0000 0.5000  4 N 1.96
N: 0.0000 0.1949 0.4130  2 Al 1.96
N: 0.1532 0.1899 0.6135  1 Al 1.96

Record 4
First-principles (GGA-PBE) data for a relaxed structure of Ta2NbGaC, as listed in the Alexandria database.

Summary:
energy relative to the elements = 2610.5 meV per atom
DFT total energy = -6.59 eV per atom

Lattice parameters (Å, degrees): 4.8678 4.8678 4.8932 90.00 90.00 90.00
Last column: nearest neighbours and their distance in Å.
Space group P4/mmm (No. 123)
Symmetry-distinct sites (fractional):
Ta: 0.0000 0.5000 0.0000  2 Nb 2.43
Nb: 0.0000 0.0000 0.0000  4 Ta 2.43, 2 Ga 2.45
Ga: 0.0000 0.0000 0.5000  2 Nb 2.45
C: 0.5000 0.5000 0.5000  4 Ga 3.44, 8 Ta 3.45

Record 5
First-principles (GGA-PBE) data for a relaxed structure of Sm12Dy2Th, as listed in the Alexandria database.

Summary:
energy relative to the elements = 174.9 meV per atom
DFT total energy = -4.71 eV per atom

Lattice parameters (Å, degrees): 7.1023 11.5469 24.9186 90.00 90.00 90.00
Last column: nearest neighbours and their distance in Å.
Space group Cmme (No. 67)
Symmetry-distinct sites (fractional):
Sm: 0.0000 0.0016 0.0751  2 Th 3.43-3.44, 9 Sm 3.55-3.74
Sm: 0.0000 0.0229 0.5600  5 Sm 3.04-3.36
Sm: 0.2327 0.2500 0.4140  7 Sm 3.30-3.63
Sm: 0.2489 0.2500 0.8734  8 Sm 3.42-3.64, 2 Th 3.60-3.64
Sm: 0.2500 0.0000 0.2000  3 Sm 3.13-3.42
Sm: 0.2500 0.0000 0.3258  3 Sm 3.13-3.36
Dy: 0.0000 0.2500 0.2662  2 Dy 3.55, 10 Sm 3.70-3.91
Dy: 0.0000 0.2500 0.7289  2 Dy 3.55, 8 Sm 3.65-3.82
Th: 0.0000 0.2500 0.9992  8 Sm 3.43-3.64, 2 Th 3.55

Record 6
First-principles (GGA-PBE) data for a relaxed structure of Na4B7C, as listed in the Alexandria database.

Summary:
energy relative to the lowest polymorph listed for this composition = 14 meV per atom
energy relative to the elements = 236.5 meV per atom
DFT total energy = -4.87 eV per atom

Lattice parameters (Å, degrees): 2.8456 17.3572 10.7140 90.00 90.00 90.00
Last column: nearest neighbours and their distance in Å.
Space group Amm2 (No. 38)
Symmetry-distinct sites (fractional):
Na: 0.0000 0.1250 0.0000  9 B 2.69-2.85, 3 C 2.71-2.77, 2 Na 2.85
Na: 0.0000 0.1257 0.5005  12 B 2.73-3.01, 6 Na 2.85-3.05
Na: 0.5000 0.1247 0.7518  11 B 2.69-2.87, 2 Na 2.85, 1 C 2.88
Na: 0.5000 0.1267 0.2486  10 B 2.69-2.84, 2 C 2.79, 2 Na 2.85
B: 0.0000 0.0000 0.3065  1 C 1.57
B: 0.0000 0.0000 0.6834  3 B 1.80-1.83
B: 0.0000 0.0000 0.8515  2 C 1.65, 1 B 1.80
B: 0.0000 0.2492 0.8287  3 B 1.68-1.74
B: 0.0000 0.2500 0.1720  3 B 1.68-1.74
B: 0.5000 0.0000 0.0811  3 C 1.63-1.65
B: 0.5000 0.0000 0.4140  3 B 1.73-1.83
B: 0.5000 0.0000 0.5754  3 B 1.73-1.83
B: 0.5000 0.2491 0.0787  3 B 1.68-1.74
B: 0.5000 0.2492 0.9220  3 B 1.68-1.74
C: 0.0000 0.0000 0.1600  3 B 1.57-1.65
C: 0.5000 0.0000 0.9287  3 B 1.63-1.65

Number 1: calculated volume 212 Å³/cell. Number 2: calculated volume 503 Å³/cell. Number 3: calculated volume 957 Å³/cell. Number 4: calculated volume 116 Å³/cell. Number 5: calculated volume 2044 Å³/cell. Number 6: calculated volume 529 Å³/cell.